1.
SrMg11Pt after structural relaxation, computed with PBE.

Summary:
The value obtained for the total energy is -2.1338 eV/atom. For the volume, the calculation gives 303.0 Å³/cell.

Lattice parameters (Å, degrees): 5.689 7.805 7.798 82.85 68.61 70.04
Atoms (fractional coordinates):
Sr 0.000 0.000 0.000
Mg 0.298 0.227 0.209
Mg 0.360 0.637 0.661
Mg 0.000 0.500 0.000
Mg 0.507 0.227 0.791
Mg 0.000 0.000 0.500
Mg 0.640 0.363 0.339
Mg 0.021 0.637 0.339
Mg 0.500 0.000 0.500
Mg 0.979 0.363 0.661
Mg 0.702 0.773 0.791
Mg 0.493 0.773 0.209
Pt 0.500 0.500 0.000

=====

2.
SrMgPt after structural relaxation, computed with PBE.

Summary:
The value obtained for the total energy is -3.8737 eV/atom. For the volume, the calculation gives 293.1 Å³/cell.

Lattice parameters (Å, degrees): 4.459 7.599 8.650 90.00 90.00 90.00
Atoms (fractional coordinates):
Mg 0.250 0.138 0.063
Pt 0.750 0.221 0.882
Mg 0.250 0.638 0.437
Sr 0.750 0.472 0.178
Pt 0.250 0.779 0.118
Pt 0.750 0.721 0.618
Pt 0.250 0.279 0.382
Sr 0.250 0.528 0.822
Mg 0.750 0.862 0.937
Sr 0.250 0.028 0.678
Sr 0.750 0.972 0.322
Mg 0.750 0.362 0.563

=====

3.
SrMgPt3 after structural relaxation, computed with PBE.

Summary:
The calculation puts the polymorph energy (0 for the lowest one) at 0.000 eV per atom. The value obtained for the total energy is -4.3857 eV/atom. For the volume, the calculation gives 109.9 Å³/cell.

Lattice parameters (Å, degrees): 4.790 4.790 4.790 90.00 90.00 90.00
Atoms (fractional coordinates):
Pt 0.000 0.500 0.000
Pt 0.500 0.000 0.000
Sr 0.500 0.500 0.500
Mg 0.000 0.000 0.000
Pt 0.000 0.000 0.500

=====

4.
SrMgPt after structural relaxation, computed with PBE.

Summary:
The value obtained for the total energy is -3.8801 eV/atom. For the volume, the calculation gives 149.6 Å³/cell.

Lattice parameters (Å, degrees): 4.398 4.398 7.735 90.00 90.00 90.00
Atoms (fractional coordinates):
Sr 0.500 0.000 0.151
Pt 0.000 0.500 0.287
Mg 0.500 0.500 0.500
Sr 0.000 0.500 0.849
Pt 0.500 0.000 0.713
Mg 0.000 0.000 0.500